This record from Alexandria via LeMat-Bulk describes a relaxed structure of Hf2PbAuN. The functional is PBE.

```
data_Hf2PbAuN
_space_group_name_H-M_alt 'P 4/m m m'
_space_group_IT_number 123
_space_group_name_Hall '-P 4 2'
_cell_length_a 4.349
_cell_length_b 4.349
_cell_length_c 5.051
_cell_angle_alpha 90.00
_cell_angle_beta 90.00
_cell_angle_gamma 90.00
loop_
_atom_site_label
_atom_site_fract_x
_atom_site_fract_y
_atom_site_fract_z
Hf1 0.000 0.500 0.000
Pb1 0.000 0.000 0.500
Au1 0.500 0.500 0.500
N1 0.000 0.000 0.000
```

Properties
Volume   19.1 A^3/atom
Raw total energy   -36.9 eV per formula unit
E_form (uncorrected)   -1.70 eV per formula unit
Distance to the lowest polymorph of the same formula   0.0000 eV/atom

This record from Alexandria via LeMat-Bulk describes a relaxed structure of Hf2PbAuN. The functional is PBE.

```
data_Hf2PbAuN
_space_group_name_H-M_alt 'P 4/m m m'
_space_group_IT_number 123
_space_group_name_Hall '-P 4 2'
_cell_length_a 5.434
_cell_length_b 5.434
_cell_length_c 4.164
_cell_angle_alpha 90.00
_cell_angle_beta 90.00
_cell_angle_gamma 90.00
loop_
_atom_site_label
_atom_site_fract_x
_atom_site_fract_y
_atom_site_fract_z
Hf1 0.000 0.500 0.000
Pb1 0.000 0.000 0.000
Au1 0.500 0.500 0.500
N1 0.000 0.000 0.500
```

Properties
Volume   24.6 A^3/atom
Raw total energy   -27.1 eV per formula unit
E_form (uncorrected)   8.15 eV per formula unit
Distance to the lowest polymorph of the same formula   1.9704 eV/atom

This record from Alexandria via LeMat-Bulk describes a relaxed structure of Hf2Pd2AuN2. The functional is PBE.

```
data_Hf2Pd2AuN2
_space_group_name_H-M_alt 'P -3 m 1'
_space_group_IT_number 164
_space_group_name_Hall '-P 3 2"'
_cell_length_a 4.3481
_cell_length_b 4.3481
_cell_length_c 8.3124
_cell_angle_alpha 90.00
_cell_angle_beta 90.00
_cell_angle_gamma 120.00
loop_
_atom_site_label
_atom_site_fract_x
_atom_site_fract_y
_atom_site_fract_z
Hf1 0.3333 0.6667 0.1276
Pd1 0.0000 0.0000 0.1849
Au1 0.0000 0.0000 0.5000
N1 0.3333 0.6667 0.8853
```

Properties
Volume   19.4 A^3/atom
Raw total energy   -51.1 eV per formula unit
E_form (uncorrected)   -0.86 eV per formula unit